Here is a relaxed Re2Pt3 crystal from the Alexandria database. Energies are from GGA-PBE.

a = 4.329 Å, b = 4.329 Å, c = 5.368 Å
α = 90.00°, β = 90.00°, γ = 120.00°
Fractional coordinates of all 5 atoms:
Re (0.667, 0.333, 0.119)
Re (0.333, 0.667, 0.881)
Pt (0.000, 0.000, 0.000)
Pt (0.667, 0.333, 0.618)
Pt (0.333, 0.667, 0.382)

Properties
V: 17.42 Å³/atom
space group: P-3m1, No. 164
energy relative to the elements: 392 meV per atom
E: -8.21 eV per atom